Record 1
This record from Alexandria describes a geometry-optimized Gd2TlCo structure. The functional is PBE.

Cell lengths 3.7932, 3.7932, 9.8716 Å; angles 78.92, 78.92, 60.00 degrees
With the nearest neighbours (Å) after each atom.
Fractional coordinates of all 4 atoms:
Gd: 0.8852 0.8852 0.3444  3 Co 2.65
Gd: 0.1148 0.1148 0.6556  3 Co 2.65
Tl: 0.0000 0.0000 0.0000  2 Gd 3.32
Co: 0.5000 0.5000 0.5000  6 Gd 2.65

Results
Density, Mg/m³: 8.00

---

Record 2
This record from Alexandria describes a geometry-optimized Gd3TlCo structure. The functional is PBE.

Cell lengths 5.1936, 5.1936, 5.1936 Å; angles 90.00, 90.00, 90.00 degrees
With the nearest neighbours (Å) after each atom.
Fractional coordinates of all 5 atoms:
Gd: 0.5000 0.0000 0.0000  2 Co 2.60
Gd: 0.0000 0.0000 0.5000  2 Co 2.60
Co: 0.0000 0.0000 0.0000  6 Gd 2.60
Gd: 0.0000 0.5000 0.0000  2 Co 2.60
Tl: 0.5000 0.5000 0.5000  12 Gd 3.67

Results
Density, Mg/m³: 8.71

---

Record 3
This record from Alexandria describes a geometry-optimized GdTmCo4 structure. The functional is PBE.

Cell lengths 5.0606, 5.0606, 5.0606 Å; angles 60.00, 60.00, 60.00 degrees
With the nearest neighbours (Å) after each atom.
Fractional coordinates of all 6 atoms:
Co: 0.6247 0.6247 0.6247  6 Co 2.52-2.54
Gd: 0.0000 0.0000 0.0000  12 Co 2.97, 4 Tm 3.10
Co: 0.1260 0.6247 0.6247  6 Co 2.52-2.54
Co: 0.6247 0.6247 0.1260  6 Co 2.52-2.54
Tm: 0.2500 0.2500 0.2500  12 Co 2.97, 4 Gd 3.10
Co: 0.6247 0.1260 0.6247  6 Co 2.52-2.54

Results
Density, Mg/m³: 10.18

---

Record 4
This record from Alexandria describes a geometry-optimized GdTmCo structure. The functional is PBE.

Cell lengths 4.6720, 4.6720, 4.6720 Å; angles 60.00, 60.00, 60.00 degrees
With the nearest neighbours (Å) after each atom.
Fractional coordinates of all 3 atoms:
Tm: 0.5000 0.5000 0.5000  4 Co 2.86
Co: 0.2500 0.2500 0.2500  4 Gd 2.86, 4 Tm 2.86
Gd: 0.0000 0.0000 0.0000  4 Co 2.86

Results
ΔE to the lowest computed polymorph, meV per atom: 58
Density, Mg/m³: 8.87

---

Record 5
This record from Alexandria describes a geometry-optimized GdTm3Co structure. The functional is PBE.

Cell lengths 5.2044, 5.2044, 5.2044 Å; angles 90.00, 90.00, 90.00 degrees
With the nearest neighbours (Å) after each atom.
Fractional coordinates of all 5 atoms:
Co: 0.0000 0.0000 0.0000  6 Tm 2.60
Tm: 0.0000 0.0000 0.5000  2 Co 2.60
Tm: 0.5000 0.0000 0.0000  2 Co 2.60
Tm: 0.0000 0.5000 0.0000  2 Co 2.60
Gd: 0.5000 0.5000 0.5000  12 Tm 3.68

Results
Density, Mg/m³: 8.52

---

Record 6
This record from Alexandria describes a geometry-optimized GdTmCo structure. The functional is PBE.

Cell lengths 3.8517, 3.8517, 6.1530 Å; angles 90.00, 90.00, 120.00 degrees
With the nearest neighbours (Å) after each atom.
Fractional coordinates of all 3 atoms:
Gd: 0.0000 0.0000 0.0989  3 Co 2.66
Tm: 0.3333 0.6667 0.5658  3 Co 2.64
Co: 0.6667 0.3333 0.3352  3 Tm 2.64, 3 Gd 2.66

Results
ΔE to the lowest computed polymorph, meV per atom: 59
Density, Mg/m³: 8.09

---

Record 7
This record from Alexandria describes a geometry-optimized GdTmCo structure. The functional is PBE.

Cell lengths 3.3518, 3.3518, 6.7284 Å; angles 104.42, 104.42, 90.00 degrees
With the nearest neighbours (Å) after each atom.
Fractional coordinates of all 3 atoms:
Gd: 0.0369 0.0369 0.0738  4 Co 2.90, 1 Tm 3.23
Tm: 0.2935 0.2935 0.5870  4 Co 2.84
Co: 0.6696 0.6696 0.3392  4 Tm 2.84, 4 Gd 2.90

Results
ΔE to the lowest computed polymorph, meV per atom: 0
Density, Mg/m³: 9.04

---

Record 8
This record from Alexandria describes a geometry-optimized GdUCo4 structure. The functional is PBE.

Cell lengths 4.9760, 4.9760, 4.9760 Å; angles 60.00, 60.00, 60.00 degrees
With the nearest neighbours (Å) after each atom.
Fractional coordinates of all 6 atoms:
U: 0.2500 0.2500 0.2500  12 Co 2.92, 4 Gd 3.05
Co: 0.1265 0.6245 0.6245  6 Co 2.48-2.50
Co: 0.6245 0.6245 0.6245  6 Co 2.48-2.50
Co: 0.6245 0.6245 0.1265  6 Co 2.48-2.50
Co: 0.6245 0.1265 0.6245  6 Co 2.48-2.50
Gd: 0.0000 0.0000 0.0000  12 Co 2.92, 4 U 3.05

Results
Density, Mg/m³: 12.03

---

| no. | calculated formation energy (eV/atom) |
| --- | --- |
| 1 | -0.0354 |
| 2 | -0.1750 |
| 3 | -0.2215 |
| 4 | -0.0681 |
| 5 | -0.0611 |
| 6 | -0.0670 |
| 7 | -0.1263 |
| 8 | -0.1256 |